Rb2SbCBr6: optimized geometry, PBE.

## Properties
Formation energy without anion corrections ... -0.41 eV/atom
Mass density ... 4.2 g/cm³
Density of states at the Fermi level ... 2.571 states/eV/cell
Total moment ... 0.88 Bohr magnetons per cell
Space-group type ... No. 139
Calculated volume ... 312 Å³/cell
Crystal system ... tetragonal

Lattice parameters (Å, degrees): 7.623 7.623 7.623 120.17 120.17 89.70
Positions (direct):
Rb (0.250, 0.750, 0.500)
Rb (0.750, 0.250, 0.500)
Sb (0.000, 0.000, 0.000)
C (0.500, 0.500, 0.000)
Br (0.261, 0.261, 0.000)
Br (0.263, 0.263, 0.526)
Br (0.263, 0.737, 0.000)
Br (0.737, 0.263, 0.000)
Br (0.737, 0.737, 0.474)
Br (0.739, 0.739, 0.000)

---

Rb2CSeBr6: optimized geometry, PBE.

## Properties
Formation energy without anion corrections ... -0.26 eV/atom
Mass density ... 4.3 g/cm³
Density of states at the Fermi level ... 1.539 states/eV/cell
Total moment ... 0.00 Bohr magnetons per cell
Space-group type ... No. 139
Calculated volume ... 288 Å³/cell
Crystal system ... tetragonal

Lattice parameters (Å, degrees): 7.465 7.465 7.465 121.30 121.30 87.77
Positions (direct):
Rb (0.250, 0.750, 0.500)
Rb (0.750, 0.250, 0.500)
C (0.000, 0.000, 0.000)
Se (0.500, 0.500, 0.000)
Br (0.232, 0.232, 0.000)
Br (0.238, 0.238, 0.476)
Br (0.238, 0.762, 0.000)
Br (0.762, 0.238, 0.000)
Br (0.762, 0.762, 0.524)
Br (0.768, 0.768, 0.000)

---

RbCSeBr2: optimized geometry, PBE.

## Properties
Formation energy without anion corrections ... 1.59 eV/atom
Mass density ... 1.9 g/cm³
Density of states at the Fermi level ... 10.423 states/eV/cell
Total moment ... 1.03 Bohr magnetons per cell
Space-group type ... No. 123
Calculated volume ... 301 Å³/cell
Crystal system ... tetragonal
Relative energy among the computed polymorphs ... 1286 meV per atom

Lattice parameters (Å, degrees): 6.559 6.559 7.007 90.00 90.00 90.00
Positions (direct):
Rb (0.000, 0.000, 0.000)
C (0.500, 0.500, 0.500)
Se (0.000, 0.000, 0.500)
Br (0.000, 0.500, 0.000)
Br (0.500, 0.000, 0.000)

---

RbCSeBr2: optimized geometry, PBE.

## Properties
Formation energy without anion corrections ... 0.30 eV/atom
Mass density ... 4.1 g/cm³
Density of states at the Fermi level ... 4.599 states/eV/cell
Total moment ... 0.00 Bohr magnetons per cell
Space-group type ... No. 123
Calculated volume ... 137 Å³/cell
Crystal system ... tetragonal
Relative energy among the computed polymorphs ... 0 meV per atom

Lattice parameters (Å, degrees): 5.923 5.923 3.912 90.00 90.00 90.00
Positions (direct):
Rb (0.000, 0.000, 0.000)
C (0.500, 0.500, 0.500)
Se (0.500, 0.500, 0.000)
Br (0.000, 0.500, 0.500)
Br (0.500, 0.000, 0.500)

---

Rb2SiCBr6: optimized geometry, PBE.

## Properties
Formation energy without anion corrections ... -0.37 eV/atom
Mass density ... 4.1 g/cm³
Density of states at the Fermi level ... 0.109 states/eV/cell
Total moment ... 0.00 Bohr magnetons per cell
Space-group type ... No. 139
Calculated volume ... 280 Å³/cell
Crystal system ... tetragonal

Lattice parameters (Å, degrees): 7.342 7.342 7.342 119.96 119.96 90.07
Positions (direct):
Rb (0.250, 0.750, 0.500)
Rb (0.750, 0.250, 0.500)
Si (0.000, 0.000, 0.000)
C (0.500, 0.500, 0.000)
Br (0.253, 0.253, 0.000)
Br (0.254, 0.254, 0.507)
Br (0.254, 0.746, 0.000)
Br (0.746, 0.254, 0.000)
Br (0.746, 0.746, 0.493)
Br (0.747, 0.747, 0.000)

---

Rb2SrCBr6: optimized geometry, PBE.

## Properties
Formation energy without anion corrections ... -0.82 eV/atom
Mass density ... 3.7 g/cm³
Density of states at the Fermi level ... 0.000 states/eV/cell
Total moment ... 0.00 Bohr magnetons per cell
Space-group type ... No. 225
Calculated volume ... 335 Å³/cell
Crystal system ... cubic

Lattice parameters (Å, degrees): 7.794 7.794 7.794 60.00 60.00 60.00
Positions (direct):
Rb (0.250, 0.250, 0.250)
Rb (0.750, 0.750, 0.750)
Sr (0.000, 0.000, 0.000)
C (0.500, 0.500, 0.500)
Br (0.272, 0.272, 0.728)
Br (0.272, 0.728, 0.272)
Br (0.272, 0.728, 0.728)
Br (0.728, 0.272, 0.272)
Br (0.728, 0.272, 0.728)
Br (0.728, 0.728, 0.272)

---

Rb2TaCBr6: optimized geometry, PBE.

## Properties
Formation energy without anion corrections ... -0.40 eV/atom
Mass density ... 4.1 g/cm³
Density of states at the Fermi level ... 6.783 states/eV/cell
Total moment ... 3.00 Bohr magnetons per cell
Space-group type ... No. 139
Calculated volume ... 341 Å³/cell
Crystal system ... tetragonal

Lattice parameters (Å, degrees): 7.924 7.924 7.924 121.98 121.98 86.60
Positions (direct):
Rb (0.250, 0.750, 0.500)
Rb (0.750, 0.250, 0.500)
Ta (0.000, 0.000, 0.000)
C (0.500, 0.500, 0.000)
Br (0.224, 0.224, 0.000)
Br (0.238, 0.238, 0.476)
Br (0.238, 0.762, 0.000)
Br (0.762, 0.238, 0.000)
Br (0.762, 0.762, 0.524)
Br (0.776, 0.776, 0.000)

---

Rb2TiCBr6: optimized geometry, PBE.

## Properties
Formation energy without anion corrections ... -0.60 eV/atom
Mass density ... 3.8 g/cm³
Density of states at the Fermi level ... 7.223 states/eV/cell
Total moment ... 2.00 Bohr magnetons per cell
Space-group type ... No. 139
Calculated volume ... 312 Å³/cell
Crystal system ... tetragonal

Lattice parameters (Å, degrees): 7.825 7.825 7.825 124.63 124.63 82.15
Positions (direct):
Rb (0.250, 0.750, 0.500)
Rb (0.750, 0.250, 0.500)
Ti (0.000, 0.000, 0.000)
C (0.500, 0.500, 0.000)
Br (0.217, 0.217, 0.000)
Br (0.253, 0.253, 0.506)
Br (0.253, 0.747, 0.000)
Br (0.747, 0.253, 0.000)
Br (0.747, 0.747, 0.494)
Br (0.783, 0.783, 0.000)

---

Rb2TlCBr6: optimized geometry, PBE.

## Properties
Formation energy without anion corrections ... -0.42 eV/atom
Mass density ... 4.5 g/cm³
Density of states at the Fermi level ... 3.269 states/eV/cell
Total moment ... 0.00 Bohr magnetons per cell
Space-group type ... No. 139
Calculated volume ... 316 Å³/cell
Crystal system ... tetragonal

Lattice parameters (Å, degrees): 7.640 7.640 7.640 119.79 119.79 90.36
Positions (direct):
Rb (0.250, 0.750, 0.500)
Rb (0.750, 0.250, 0.500)
Tl (0.000, 0.000, 0.000)
C (0.500, 0.500, 0.000)
Br (0.270, 0.270, 0.000)
Br (0.270, 0.270, 0.540)
Br (0.270, 0.730, 0.000)
Br (0.730, 0.270, 0.000)
Br (0.730, 0.730, 0.000)
Br (0.730, 0.730, 0.460)

---

Rb2VCBr6: optimized geometry, PBE.

## Properties
Formation energy without anion corrections ... -0.45 eV/atom
Mass density ... 3.9 g/cm³
Density of states at the Fermi level ... 10.091 states/eV/cell
Total moment ... 3.00 Bohr magnetons per cell
Space-group type ... No. 139
Calculated volume ... 303 Å³/cell
Crystal system ... tetragonal

Lattice parameters (Å, degrees): 7.791 7.791 7.791 125.32 125.32 81.00
Positions (direct):
Rb (0.250, 0.750, 0.500)
Rb (0.750, 0.250, 0.500)
V (0.000, 0.000, 0.000)
C (0.500, 0.500, 0.000)
Br (0.214, 0.214, 0.000)
Br (0.258, 0.258, 0.515)
Br (0.258, 0.742, 0.000)
Br (0.742, 0.258, 0.000)
Br (0.742, 0.742, 0.485)
Br (0.786, 0.786, 0.000)

---

Rb2ZnCBr6: optimized geometry, PBE.

## Properties
Formation energy without anion corrections ... -0.44 eV/atom
Mass density ... 4.3 g/cm³
Density of states at the Fermi level ... 0.000 states/eV/cell
Total moment ... 0.00 Bohr magnetons per cell
Space-group type ... No. 139
Calculated volume ... 280 Å³/cell
Crystal system ... tetragonal

Lattice parameters (Å, degrees): 7.343 7.343 7.343 119.96 119.96 90.06
Positions (direct):
Rb (0.250, 0.750, 0.500)
Rb (0.750, 0.250, 0.500)
Zn (0.000, 0.000, 0.000)
C (0.500, 0.500, 0.000)
Br (0.256, 0.256, 0.000)
Br (0.257, 0.257, 0.514)
Br (0.257, 0.743, 0.000)
Br (0.743, 0.257, 0.000)
Br (0.743, 0.743, 0.486)
Br (0.744, 0.744, 0.000)

---

ReCBr3: optimized geometry, PBE.

## Properties
Formation energy without anion corrections ... 1.96 eV/atom
Mass density ... 6.6 g/cm³
Density of states at the Fermi level ... 2.204 states/eV/cell
Total moment ... 5.05 Bohr magnetons per cell
Space-group type ... No. 221
Calculated volume ... 110 Å³/cell
Crystal system ... cubic
Relative energy among the computed polymorphs ... 38 meV per atom

Lattice parameters (Å, degrees): 4.787 4.787 4.787 90.00 90.00 90.00
Positions (direct):
Re (0.000, 0.000, 0.000)
C (0.500, 0.500, 0.500)
Br (0.000, 0.500, 0.500)
Br (0.500, 0.000, 0.500)
Br (0.500, 0.500, 0.000)

---

ReC2Br: optimized geometry, PBE.

## Properties
Formation energy without anion corrections ... 1.30 eV/atom
Mass density ... 6.3 g/cm³
Density of states at the Fermi level ... 14.302 states/eV/cell
Total moment ... 0.00 Bohr magnetons per cell
Space-group type ... No. 122
Calculated volume ... 307 Å³/cell
Crystal system ... tetragonal
Relative energy among the computed polymorphs ... 0 meV per atom

Lattice parameters (Å, degrees): 5.741 5.741 9.327 90.00 90.00 90.00
Positions (direct):
Re (0.000, 0.000, 0.000)
Re (0.000, 0.500, 0.250)
Re (0.500, 0.000, 0.750)
Re (0.500, 0.500, 0.500)
C (0.077, 0.250, 0.125)
C (0.250, 0.577, 0.375)
C (0.250, 0.923, 0.875)
C (0.423, 0.250, 0.625)
C (0.577, 0.750, 0.625)
C (0.750, 0.077, 0.875)
C (0.750, 0.423, 0.375)
C (0.923, 0.750, 0.125)
Br (0.000, 0.000, 0.500)
Br (0.000, 0.500, 0.750)
Br (0.500, 0.000, 0.250)
Br (0.500, 0.500, 0.000)

---

ReCBr2: optimized geometry, PBE.

## Properties
Formation energy without anion corrections ... 2.06 eV/atom
Mass density ... 8.6 g/cm³
Density of states at the Fermi level ... 8.150 states/eV/cell
Total moment ... 0.00 Bohr magnetons per cell
Space-group type ... No. 166
Calculated volume ... 208 Å³/cell
Crystal system ... trigonal
Relative energy among the computed polymorphs ... 0 meV per atom

Lattice parameters (Å, degrees): 3.130 3.130 24.467 90.00 90.00 120.00
Positions (direct):
Re (0.000, 0.000, 0.000)
Re (0.333, 0.667, 0.667)
Re (0.667, 0.333, 0.333)
C (0.000, 0.000, 0.500)
C (0.333, 0.667, 0.167)
C (0.667, 0.333, 0.833)
Br (0.000, 0.000, 0.099)
Br (0.000, 0.000, 0.901)
Br (0.333, 0.667, 0.568)
Br (0.333, 0.667, 0.766)
Br (0.667, 0.333, 0.234)
Br (0.667, 0.333, 0.432)

---

ReCBr2: optimized geometry, PBE.

## Properties
Formation energy without anion corrections ... 2.27 eV/atom
Mass density ... 9.5 g/cm³
Density of states at the Fermi level ... 8.346 states/eV/cell
Total moment ... 0.00 Bohr magnetons per cell
Space-group type ... No. 225
Calculated volume ... 250 Å³/cell
Crystal system ... cubic
Relative energy among the computed polymorphs ... 206 meV per atom

Lattice parameters (Å, degrees): 6.302 6.302 6.302 90.00 90.00 90.00
Positions (direct):
Re (0.000, 0.000, 0.000)
Re (0.000, 0.500, 0.500)
Re (0.500, 0.000, 0.500)
Re (0.500, 0.500, 0.000)
C (0.000, 0.000, 0.500)
C (0.000, 0.500, 0.000)
C (0.500, 0.000, 0.000)
C (0.500, 0.500, 0.500)
Br (0.250, 0.250, 0.250)
Br (0.250, 0.250, 0.750)
Br (0.250, 0.750, 0.250)
Br (0.250, 0.750, 0.750)
Br (0.750, 0.250, 0.250)
Br (0.750, 0.250, 0.750)
Br (0.750, 0.750, 0.250)
Br (0.750, 0.750, 0.750)

---

ReCBr2: optimized geometry, PBE.

## Properties
Formation energy without anion corrections ... 2.30 eV/atom
Mass density ... 7.3 g/cm³
Density of states at the Fermi level ... 15.072 states/eV/cell
Total moment ... 0.00 Bohr magnetons per cell
Space-group type ... No. 122
Calculated volume ... 324 Å³/cell
Crystal system ... tetragonal
Relative energy among the computed polymorphs ... 244 meV per atom

Lattice parameters (Å, degrees): 6.176 6.176 8.485 90.00 90.00 90.00
Positions (direct):
Re (0.000, 0.000, 0.000)
Re (0.000, 0.500, 0.250)
Re (0.500, 0.000, 0.750)
Re (0.500, 0.500, 0.500)
C (0.000, 0.000, 0.500)
C (0.000, 0.500, 0.750)
C (0.500, 0.000, 0.250)
C (0.500, 0.500, 0.000)
Br (0.249, 0.250, 0.625)
Br (0.250, 0.749, 0.875)
Br (0.250, 0.751, 0.375)
Br (0.251, 0.250, 0.125)
Br (0.749, 0.750, 0.125)
Br (0.750, 0.249, 0.375)
Br (0.750, 0.251, 0.875)
Br (0.751, 0.750, 0.625)

---

ReCBr3: optimized geometry, PBE.

## Properties
Formation energy without anion corrections ... 1.92 eV/atom
Mass density ... 5.6 g/cm³
Density of states at the Fermi level ... 10.650 states/eV/cell
Total moment ... 2.69 Bohr magnetons per cell
Space-group type ... No. 221
Calculated volume ... 131 Å³/cell
Crystal system ... cubic
Relative energy among the computed polymorphs ... 0 meV per atom

Lattice parameters (Å, degrees): 5.078 5.078 5.078 90.00 90.00 90.00
Positions (direct):
Re (0.000, 0.000, 0.000)
C (0.500, 0.500, 0.500)
Br (0.000, 0.000, 0.500)
Br (0.000, 0.500, 0.000)
Br (0.500, 0.000, 0.000)

---

ReC3Br: optimized geometry, PBE.

## Properties
Formation energy without anion corrections ... 3.76 eV/atom
Mass density ... 9.0 g/cm³
Density of states at the Fermi level ... 5.575 states/eV/cell
Total moment ... 0.00 Bohr magnetons per cell
Space-group type ... No. 221
Calculated volume ... 56 Å³/cell
Crystal system ... cubic
Relative energy among the computed polymorphs ... 1793 meV per atom

Lattice parameters (Å, degrees): 3.824 3.824 3.824 90.00 90.00 90.00
Positions (direct):
Re (0.000, 0.000, 0.000)
C (0.000, 0.500, 0.500)
C (0.500, 0.000, 0.500)
C (0.500, 0.500, 0.000)
Br (0.500, 0.500, 0.500)

---

ReC2Br: optimized geometry, PBE.

## Properties
Formation energy without anion corrections ... 2.81 eV/atom
Mass density ... 10.9 g/cm³
Density of states at the Fermi level ... 15.319 states/eV/cell
Total moment ... 0.00 Bohr magnetons per cell
Space-group type ... No. 225
Calculated volume ... 177 Å³/cell
Crystal system ... cubic
Relative energy among the computed polymorphs ... 1506 meV per atom

Lattice parameters (Å, degrees): 5.619 5.619 5.619 90.00 90.00 90.00
Positions (direct):
Re (0.000, 0.000, 0.000)
Re (0.000, 0.500, 0.500)
Re (0.500, 0.000, 0.500)
Re (0.500, 0.500, 0.000)
C (0.250, 0.250, 0.250)
C (0.250, 0.250, 0.750)
C (0.250, 0.750, 0.250)
C (0.250, 0.750, 0.750)
C (0.750, 0.250, 0.250)
C (0.750, 0.250, 0.750)
C (0.750, 0.750, 0.250)
C (0.750, 0.750, 0.750)
Br (0.000, 0.000, 0.500)
Br (0.000, 0.500, 0.000)
Br (0.500, 0.000, 0.000)
Br (0.500, 0.500, 0.500)

---

ReC3Br: optimized geometry, PBE.

## Properties
Formation energy without anion corrections ... 1.96 eV/atom
Mass density ... 7.1 g/cm³
Density of states at the Fermi level ... 0.663 states/eV/cell
Total moment ... 0.00 Bohr magnetons per cell
Space-group type ... No. 221
Calculated volume ... 71 Å³/cell
Crystal system ... cubic
Relative energy among the computed polymorphs ... 0 meV per atom

Lattice parameters (Å, degrees): 4.135 4.135 4.135 90.00 90.00 90.00
Positions (direct):
Re (0.000, 0.000, 0.000)
C (0.000, 0.000, 0.500)
C (0.000, 0.500, 0.000)
C (0.500, 0.000, 0.000)
Br (0.500, 0.500, 0.500)